9
Lattice="-0.3244 -3.9474 0.4389 5.7270 0.0426 4.6168 -6.2155 2.9035 3.4288" Properties=species:S:1:pos:R:3 comment="Ca2PuCu2Se4 PBE relaxed" spacegroup="C2/m (12)" vol_a3_per_atom=22.50 m_tot_mub_per_atom=0.6622 e_form_raw_ev_per_atom=-1.153 pbc="T T T"
Ca 1.6104 0.2702 3.6212
Se 3.7147 -1.8909 3.8301
Ca -2.4233 -1.2716 4.8632
Cu -2.5448 -1.6210 1.6306
Pu 0.0000 0.0000 0.0000
Se 0.5748 -1.4063 5.8676
Se -1.3877 0.4050 2.6169
Se -4.5276 0.8896 4.6543
Cu 1.7319 0.6196 6.8538